No. 1
The following is a DFT calculation (PBE) of an optimized crystal structure of Dy2TmMg3Tl2Cd.

Total magnetization, μB per formula unit: 0.00
DFT total energy, eV per atom: -2.97

Lattice parameters (Å, degrees): 4.608 13.011 7.557 90.00 90.00 90.00
Space group Amm2 (No. 38)
Inequivalent atoms, fractional coordinates:
1 Dy 0.000 0.214 0.000
2 Tm 0.000 0.000 0.360
3 Mg 0.500 0.000 0.025
4 Mg 0.500 0.120 0.666
5 Tl 0.500 0.166 0.287
6 Cd 0.000 0.000 0.783

***

No. 2
The following is a DFT calculation (PBE) of an optimized crystal structure of DyTm2Mg3Tl2Cd.

Total magnetization, μB per formula unit: 0.00
DFT total energy, eV per atom: -2.95

Lattice parameters (Å, degrees): 4.595 13.052 7.495 90.00 90.00 90.00
Space group Amm2 (No. 38)
Inequivalent atoms, fractional coordinates:
1 Dy 0.000 0.000 0.000
2 Tm 0.000 0.214 0.358
3 Mg 0.500 0.000 0.331
4 Mg 0.500 0.120 0.691
5 Tl 0.500 0.168 0.072
6 Cd 0.000 0.000 0.569

***

No. 3
The following is a DFT calculation (PBE) of an optimized crystal structure of DyY2Mg3Tl2Cd.

Total magnetization, μB per formula unit: 0.00
DFT total energy, eV per atom: -3.43

Lattice parameters (Å, degrees): 4.622 13.085 7.555 90.00 90.00 90.00
Space group Amm2 (No. 38)
Inequivalent atoms, fractional coordinates:
1 Dy 0.000 0.000 0.000
2 Y 0.000 0.212 0.364
3 Mg 0.500 0.000 0.336
4 Mg 0.500 0.120 0.696
5 Tl 0.500 0.167 0.076
6 Cd 0.000 0.000 0.576

***

No. 4
The following is a DFT calculation (PBE) of an optimized crystal structure of Dy3Mg3Zn2Cd.

Total magnetization, μB per formula unit: 0.05
DFT total energy, eV per atom: -2.68

Lattice parameters (Å, degrees): 7.5307 7.5307 4.2981 90.00 90.00 120.00
Space group P-62m (No. 189)
Inequivalent atoms, fractional coordinates:
1 Dy 0.0000 0.5786 0.0000
2 Mg 0.0000 0.2532 0.5000
3 Zn 0.3333 0.6667 0.5000
4 Cd 0.0000 0.0000 0.0000

***

No. 5
The following is a DFT calculation (PBE) of an optimized crystal structure of Na2DyCd2.

Total magnetization, μB per formula unit: 0.01
DFT total energy, eV per atom: -1.31

Lattice parameters (Å, degrees): 6.098 6.098 8.610 90.00 90.00 90.00
Space group I4/mmm (No. 139)
Inequivalent atoms, fractional coordinates:
1 Na 0.000 0.500 0.000
2 Dy 0.000 0.000 0.000
3 Cd 0.000 0.000 0.340

***

No. 6
The following is a DFT calculation (PBE) of an optimized crystal structure of NaDyCdSe3.

Relative energy among the computed polymorphs, eV per formula unit: 0.134
Total magnetization, μB per formula unit: 0.00
DFT total energy, eV per atom: -4.11

Lattice parameters (Å, degrees): 12.677 4.157 12.246 90.00 90.00 90.00
Space group Pnma (No. 62)
Inequivalent atoms, fractional coordinates:
1 Na 0.126 0.250 0.006
2 Dy 0.048 0.250 0.668
3 Cd 0.234 0.250 0.285
4 Se 0.061 0.750 0.839
5 Se 0.079 0.250 0.424
6 Se 0.229 0.750 0.146

***

No. 7
The following is a DFT calculation (PBE) of an optimized crystal structure of NaDyCdSe3.

Relative energy among the computed polymorphs, eV per formula unit: 0.107
Total magnetization, μB per formula unit: 0.00
DFT total energy, eV per atom: -4.12

Lattice parameters (Å, degrees): 11.122 4.168 13.733 90.00 90.00 90.00
Space group Pnma (No. 62)
Inequivalent atoms, fractional coordinates:
1 Na 0.218 0.250 0.005
2 Dy 0.013 0.750 0.742
3 Cd 0.238 0.750 0.219
4 Se 0.039 0.750 0.117
5 Se 0.074 0.250 0.607
6 Se 0.237 0.250 0.340

***

No. 8
The following is a DFT calculation (PBE) of an optimized crystal structure of NaDyCdSe3.

Relative energy among the computed polymorphs, eV per formula unit: 0.060
Total magnetization, μB per formula unit: 0.00
DFT total energy, eV per atom: -4.12

Lattice parameters (Å, degrees): 13.886 4.176 11.301 90.00 90.00 90.00
Space group Pnma (No. 62)
Inequivalent atoms, fractional coordinates:
1 Na 0.242 0.250 0.085
2 Dy 0.022 0.250 0.348
3 Cd 0.014 0.750 0.100
4 Se 0.104 0.250 0.575
5 Se 0.106 0.750 0.878
6 Se 0.149 0.750 0.261

***

No. 9
The following is a DFT calculation (PBE) of an optimized crystal structure of NaDyCdSe3.

Relative energy among the computed polymorphs, eV per formula unit: 0.225
Total magnetization, μB per formula unit: 0.00
DFT total energy, eV per atom: -4.10

Lattice parameters (Å, degrees): 17.597 4.122 9.108 90.00 105.42 90.00
Space group C2/m (No. 12)
Inequivalent atoms, fractional coordinates:
1 Na 0.132 0.000 0.072
2 Dy 0.176 0.000 0.599
3 Cd 0.014 0.500 0.720
4 Se 0.000 0.000 0.500
5 Se 0.000 0.500 0.000
6 Se 0.161 0.500 0.369
7 Se 0.176 0.500 0.812

***

No. 10
The following is a DFT calculation (PBE) of an optimized crystal structure of NaDyCdSe3.

Relative energy among the computed polymorphs, eV per formula unit: 0.000
Total magnetization, μB per formula unit: 0.00
DFT total energy, eV per atom: -4.13

Lattice parameters (Å, degrees): 8.213 4.193 10.248 90.00 105.30 90.00
Space group P2_1/m (No. 11)
Inequivalent atoms, fractional coordinates:
1 Na 0.200 0.250 0.191
2 Dy 0.325 0.750 0.859
3 Cd 0.081 0.250 0.607
4 Se 0.080 0.250 0.863
5 Se 0.253 0.750 0.551
6 Se 0.440 0.750 0.146

***

No. 11
The following is a DFT calculation (PBE) of an optimized crystal structure of NaDyCdSe3.

Relative energy among the computed polymorphs, eV per formula unit: 0.136
Total magnetization, μB per formula unit: 0.00
DFT total energy, eV per atom: -4.11

Lattice parameters (Å, degrees): 12.646 4.153 12.257 90.00 90.00 90.00
Space group Pnma (No. 62)
Inequivalent atoms, fractional coordinates:
1 Na 0.126 0.250 0.005
2 Dy 0.049 0.250 0.667
3 Cd 0.234 0.250 0.285
4 Se 0.061 0.750 0.839
5 Se 0.079 0.250 0.425
6 Se 0.229 0.750 0.145

***

No. 12
The following is a DFT calculation (PBE) of an optimized crystal structure of NaDyCdSe3.

Relative energy among the computed polymorphs, eV per formula unit: 0.112
Total magnetization, μB per formula unit: 0.01
DFT total energy, eV per atom: -4.12

Lattice parameters (Å, degrees): 4.148 13.842 11.072 90.00 90.00 90.00
Space group Cmcm (No. 63)
Inequivalent atoms, fractional coordinates:
1 Na 0.000 0.244 0.250
2 Dy 0.000 0.000 0.000
3 Cd 0.000 0.468 0.750
4 Se 0.000 0.089 0.750
5 Se 0.000 0.361 0.556